[1]
An optimized crystal structure of TmGe2Pd, computed with PBE.

Crystal system: orthorhombic
Symmetry: No. 62

POSCAR file:
```
TmGe2Pd
1.0
5.841 0.000 0.000
0.000 6.500 0.000
0.000 0.000 7.977
Ge Pd Tm
8 4 4
Direct
0.098 0.956 0.787
0.402 0.544 0.287
0.598 0.456 0.713
0.098 0.544 0.787
0.902 0.456 0.213
0.902 0.044 0.213
0.598 0.044 0.713
0.402 0.956 0.287
0.847 0.250 0.944
0.347 0.750 0.556
0.153 0.750 0.056
0.653 0.250 0.444
0.852 0.750 0.479
0.148 0.250 0.521
0.648 0.750 0.979
0.352 0.250 0.021
```

=====

[2]
An optimized crystal structure of Tm2Ge6Pd21, computed with PBE.

Crystal system: cubic
Symmetry: No. 225

POSCAR file:
```
Tm2Ge6Pd21
1.0
3.283 1.915 7.913
1.869 -6.449 5.655
8.361 -1.917 1.864
Pd Ge Tm
21 6 2
Direct
0.380 0.859 0.380
0.346 0.000 0.000
0.141 0.620 0.620
0.000 0.654 0.000
0.620 0.620 0.620
0.000 0.000 0.000
0.346 0.000 0.654
0.620 0.620 0.141
0.000 0.346 0.654
0.000 0.654 0.346
0.000 0.000 0.346
0.620 0.141 0.620
0.654 0.000 0.346
0.380 0.380 0.859
0.000 0.346 0.000
0.654 0.346 0.000
0.859 0.380 0.380
0.000 0.000 0.654
0.654 0.000 0.000
0.346 0.654 0.000
0.380 0.380 0.380
0.267 0.733 0.733
0.733 0.267 0.733
0.267 0.733 0.267
0.733 0.267 0.267
0.733 0.733 0.267
0.267 0.267 0.733
0.750 0.750 0.750
0.250 0.250 0.250
```

=====

[3]
An optimized crystal structure of TmGePd4, computed with PBE.

Crystal system: tetragonal
Symmetry: No. 123

POSCAR file:
```
TmGePd4
1.0
-3.558 -4.394 0.221
4.294 -3.698 -4.380
2.801 -2.043 4.472
Tm Pd Ge
2 8 2
Direct
0.000 0.500 0.250
0.500 0.500 0.750
0.250 0.786 0.000
0.250 0.786 0.500
0.250 0.214 0.000
0.250 0.214 0.500
0.750 0.214 0.000
0.750 0.786 0.000
0.750 0.786 0.500
0.750 0.214 0.500
0.500 0.000 0.250
0.000 0.000 0.750
```

=====

[4]
An optimized crystal structure of TmGePd, computed with PBE.

Crystal system: monoclinic
Symmetry: No. 12

POSCAR file:
```
TmGePd
1.0
-4.392 1.612 3.119
-4.286 -2.659 2.486
-1.038 -1.032 6.789
Tm Ge Pd
2 2 2
Direct
0.452 0.452 0.788
0.548 0.548 0.212
0.158 0.158 0.784
0.842 0.842 0.216
0.824 0.824 0.627
0.176 0.176 0.373
```

=====

[5]
An optimized crystal structure of Tm2Ge6Pd, computed with PBE.

Crystal system: orthorhombic
Symmetry: No. 38

POSCAR file:
```
Tm2Ge6Pd
1.0
2.006 -10.944 0.000
2.006 10.944 0.000
0.000 0.000 4.070
Ge Pd Tm
6 1 2
Direct
0.757 0.243 0.000
0.507 0.493 0.500
0.124 0.876 0.000
0.330 0.670 0.000
0.009 0.991 0.000
0.622 0.378 0.500
0.440 0.560 0.000
0.881 0.119 0.500
0.223 0.777 0.500
```

=====

[6]
An optimized crystal structure of TmGePd, computed with PBE.

Crystal system: cubic
Symmetry: No. 216

POSCAR file:
```
TmGePd
1.0
-3.469 1.681 -2.321
-3.753 -2.428 -0.510
-3.768 1.205 2.143
Pd Tm Ge
1 1 1
Direct
0.250 0.250 0.250
0.500 0.500 0.500
0.000 0.000 0.000
```

=====

[7]
An optimized crystal structure of Tm3Ge3Pd, computed with PBE.

Crystal system: monoclinic
Symmetry: No. 12

POSCAR file:
```
Tm3Ge3Pd
1.0
4.205 0.000 0.633
2.069 5.283 0.537
0.174 0.133 13.120
Ge Tm Pd
6 6 2
Direct
0.874 0.703 0.549
0.875 0.175 0.075
0.126 0.297 0.451
0.125 0.825 0.925
0.027 0.176 0.769
0.973 0.824 0.231
0.261 0.252 0.226
0.472 0.677 0.378
0.739 0.748 0.774
0.400 0.279 0.922
0.528 0.323 0.622
0.600 0.721 0.078
0.759 0.083 0.399
0.241 0.917 0.601
```

=====

[8]
An optimized crystal structure of Tm3Ge6Pd5, computed with PBE.

Crystal system: orthorhombic
Symmetry: No. 59

POSCAR file:
```
Tm3Ge6Pd5
1.0
4.207 0.000 0.000
0.000 9.693 0.000
0.000 0.000 12.427
Ge Pd Tm
12 10 6
Direct
0.000 0.620 0.668
0.000 0.434 0.500
0.000 0.968 0.845
0.000 0.620 0.332
0.500 0.380 0.832
0.500 0.032 0.655
0.500 0.932 0.000
0.500 0.566 0.000
0.500 0.032 0.345
0.500 0.380 0.168
0.000 0.068 0.500
0.000 0.968 0.155
0.000 0.522 0.867
0.500 0.478 0.633
0.000 0.766 0.000
0.500 0.234 0.500
0.000 0.879 0.357
0.500 0.121 0.143
0.000 0.879 0.643
0.500 0.121 0.857
0.500 0.478 0.367
0.000 0.522 0.133
0.500 0.748 0.200
0.500 0.747 0.500
0.000 0.252 0.300
0.000 0.252 0.700
0.000 0.253 0.000
0.500 0.748 0.800
```

=====

Per-record DFT formation energy, meV per atom: -664, -560, -581, -906, -472, -783, -904, -711
Per-record size of the total moment, μB/atom: 0.000, 0.000, 0.000, 0.000, 0.000, 0.000, 0.000, 0.000